Entry from Alexandria via LeMat-Bulk: MnNi5 after structural relaxation (PBE-GGA).

The structure in POSCAR format:
```
MnNi5
1.0
4.6402 -1.2658 0.0000
4.6402 1.2658 0.0000
-1.6079 0.0000 5.7269
Mn Ni
1 5
direct
0.0000 0.0000 0.0000
0.0535 0.0535 0.6060
0.3333 0.3333 0.6675
0.3866 0.3866 0.2776
0.6656 0.6656 0.3327
0.7219 0.7219 0.9424
```

Results
Uncorrected energy: -38.104 eV/cell
Total moment: 6.2 μB per formula unit
Space group: Cm (8)


Entry from Alexandria via LeMat-Bulk: CaAcIrPd after structural relaxation (PBE-GGA).

The structure in POSCAR format:
```
CaAcIrPd
1.0
0.0000 3.6206 3.6206
3.6206 0.0000 3.6206
3.6206 3.6206 0.0000
Ca Ac Ir Pd
1 1 1 1
direct
0.0000 0.0000 0.0000
0.5000 0.5000 0.5000
0.2500 0.2500 0.2500
0.7500 0.7500 0.7500
```

Results
Uncorrected energy: -22.423 eV/cell
Total moment: 0.0 μB per formula unit
Space group: F-43m (216)


Entry from Alexandria via LeMat-Bulk: CsBeCdHg2 after structural relaxation (PBE-GGA).

The structure in POSCAR format:
```
CsBeCdHg2
1.0
5.2648 0.0000 0.0000
0.0000 5.2648 0.0000
0.0000 0.0000 5.1072
Cs Be Cd Hg
1 1 1 2
direct
0.0000 0.0000 0.0000
0.5000 0.5000 0.5000
0.5000 0.5000 0.0000
0.0000 0.5000 0.5000
0.5000 0.0000 0.5000
```

Results
Uncorrected energy: -5.677 eV/cell
Total moment: 0.0 μB per formula unit
Space group: P4/mmm (123)


- Which of these has the highest total moment?
  MnNi5


- Which value of total moment does entry 1 give?
  6.2 μB per formula unit


- Which of these has the highest uncorrected energy?
  CsBeCdHg2